The following is a PBE-GGA calculation of an optimized crystal structure of HoLuAlCu, from Alexandria.

Geometry as POSCAR:
```
HoLuAlCu
1.0
-2.6338 4.0874 1.0499
-4.7680 -0.3952 1.3625
-1.3331 0.9621 4.6950
Lu Al Cu Ho
1 1 1 1
Direct
0.5000 0.5000 0.5000 Lu
0.7500 0.7500 0.7500 Al
0.2500 0.2500 0.2500 Cu
0.0000 0.0000 0.0000 Ho
```

Values from the calculation:
- space group = F-43m, No. 216
- crystal system = cubic


The following is a PBE-GGA calculation of an optimized crystal structure of Ho2AlCu12Ni3, from Alexandria.

Geometry as POSCAR:
```
Ho2AlCu12Ni3
1.0
6.1563 -1.2870 -0.9129
1.9212 5.9888 -0.9129
1.9212 1.1183 5.9539
Cu Ni Al Ho
12 3 1 2
Direct
0.1486 0.5763 0.5763 Cu
0.4237 0.8514 0.4237 Cu
0.7228 0.1996 0.1996 Cu
0.5763 0.1486 0.5763 Cu
0.8004 0.8004 0.2772 Cu
0.8004 0.2772 0.8004 Cu
0.1996 0.7228 0.1996 Cu
0.8514 0.4237 0.4237 Cu
0.2772 0.8004 0.8004 Cu
0.4237 0.4237 0.8514 Cu
0.1996 0.1996 0.7228 Cu
0.5763 0.5763 0.1486 Cu
0.0000 0.0000 0.5000 Ni
0.0000 0.5000 0.0000 Ni
0.5000 0.0000 0.0000 Ni
0.0000 0.0000 0.0000 Al
0.2566 0.2566 0.2566 Ho
0.7434 0.7434 0.7434 Ho
```

Values from the calculation:
- space group = R-3m, No. 166
- crystal system = trigonal


The following is a PBE-GGA calculation of an optimized crystal structure of Ho2Al3Cu12Ni, from Alexandria.

Geometry as POSCAR:
```
Ho2Al3Cu12Ni
1.0
11.3171 3.5607 2.5255
8.6851 8.0823 2.5255
8.6851 5.0555 6.7930
Al Ho Cu Ni
3 2 12 1
Direct
0.0000 0.0000 0.5000 Al
0.0000 0.5000 0.0000 Al
0.5000 0.0000 0.0000 Al
0.3552 0.3552 0.3552 Ho
0.6448 0.6448 0.6448 Ho
0.1251 0.6025 0.6025 Cu
0.3975 0.3975 0.8749 Cu
0.8894 0.8894 0.3870 Cu
0.1106 0.1106 0.6130 Cu
0.1106 0.6130 0.1106 Cu
0.6130 0.1106 0.1106 Cu
0.3870 0.8894 0.8894 Cu
0.8749 0.3975 0.3975 Cu
0.8894 0.3870 0.8894 Cu
0.6025 0.1251 0.6025 Cu
0.6025 0.6025 0.1251 Cu
0.3975 0.8749 0.3975 Cu
0.0000 0.0000 0.0000 Ni
```

Values from the calculation:
- space group = R-3m, No. 166
- crystal system = trigonal


The following is a PBE-GGA calculation of an optimized crystal structure of Ho2AlCu2Ni5, from Alexandria.

Geometry as POSCAR:
```
Ho2AlCu2Ni5
1.0
3.6166 0.0000 0.0000
0.0000 8.9661 0.0000
0.0000 0.0000 8.9661
Ni Cu Ho Al
10 4 4 2
Direct
0.5000 0.4396 0.2978 Ni
0.5000 0.2978 0.5604 Ni
0.5000 0.7978 0.9396 Ni
0.5000 0.0604 0.7978 Ni
0.5000 0.0000 0.5000 Ni
0.5000 0.2022 0.0604 Ni
0.5000 0.9396 0.2022 Ni
0.5000 0.5000 0.0000 Ni
0.5000 0.7022 0.4396 Ni
0.5000 0.5604 0.7022 Ni
0.0000 0.8798 0.3798 Cu
0.0000 0.3798 0.1202 Cu
0.0000 0.6202 0.8798 Cu
0.0000 0.1202 0.6202 Cu
0.0000 0.1773 0.3227 Ho
0.0000 0.6773 0.1773 Ho
0.0000 0.8227 0.6773 Ho
0.0000 0.3227 0.8227 Ho
0.0000 0.0000 0.0000 Al
0.0000 0.5000 0.5000 Al
```

Values from the calculation:
- space group = P4/mbm, No. 127
- crystal system = tetragonal


The following is a PBE-GGA calculation of an optimized crystal structure of HoAl3CuNi, from Alexandria.

Geometry as POSCAR:
```
HoAl3CuNi
1.0
5.6390 0.0000 0.0000
0.0000 6.0539 0.0000
0.0000 -3.0270 6.0227
Al Ho Cu Ni
6 2 2 2
Direct
0.2500 0.1408 0.2816 Al
0.0000 0.2874 0.0000 Al
0.0000 0.7126 0.0000 Al
0.5000 0.7126 0.0000 Al
0.5000 0.2874 0.0000 Al
0.7500 0.8592 0.7184 Al
0.2500 0.7204 0.4408 Ho
0.7500 0.2796 0.5592 Ho
0.7500 0.6481 0.2963 Cu
0.2500 0.3519 0.7037 Cu
0.2500 0.9318 0.8636 Ni
0.7500 0.0682 0.1364 Ni
```

Values from the calculation:
- space group = Cmcm, No. 63
- crystal system = orthorhombic


The following is a PBE-GGA calculation of an optimized crystal structure of Ho2Al4CuNi3, from Alexandria.

Geometry as POSCAR:
```
Ho2Al4CuNi3
1.0
3.9874 0.0000 0.0000
0.0000 3.9874 0.0000
0.0000 0.0000 10.4334
Ni Cu Al Ho
3 1 4 2
Direct
0.5000 0.0000 0.8628 Ni
0.0000 0.0000 0.5000 Ni
0.0000 0.5000 0.1372 Ni
0.5000 0.5000 0.5000 Cu
0.5000 0.5000 0.0000 Al
0.0000 0.0000 0.0000 Al
0.5000 0.0000 0.6316 Al
0.0000 0.5000 0.3684 Al
0.0000 0.5000 0.7565 Ho
0.5000 0.0000 0.2435 Ho
```

Values from the calculation:
- space group = P-4m2, No. 115
- crystal system = tetragonal


How do the records compare in V? In the order shown, they have 21.761 13.962 15.471 14.537 17.134 16.588 A^3/atom.
How do the records compare in DFT total energy? In the order shown, they have -4.538 -4.432 -4.141 -5.339 -4.605 -5.093 eV/atom.